# ThTl6Br12

A relaxed structure of ThTl6Br12 (GGA-PBE, Alexandria via LeMat-Bulk).

Results
- SG: R-3, No. 148
- ΔE_f (raw): -0.96 eV/atom
- D(E_F): 23.180 states/eV/f.u.
- Magnetic moment: 0.0 μB per formula unit

a = 9.2356 Å, b = 9.2356 Å, c = 9.2356 Å
α = 98.73°, β = 98.73°, γ = 98.73°
Last column: nearest neighbours and their distance in Å.
Element x y z (fractional)
Th: 0.0000 0.0000 0.0000  6 Br 2.86
Tl: 0.1546 0.6289 0.3319  5 Br 3.13-3.42
Tl: 0.3319 0.1546 0.6289  5 Br 3.13-3.42
Tl: 0.3711 0.6681 0.8454  5 Br 3.13-3.42
Tl: 0.6289 0.3319 0.1546  5 Br 3.13-3.42
Tl: 0.6681 0.8454 0.3711  5 Br 3.13-3.42
Tl: 0.8454 0.3711 0.6681  5 Br 3.13-3.42
Br: 0.0244 0.6943 0.9237  1 Th 2.86
Br: 0.0763 0.9756 0.3057  1 Th 2.86
Br: 0.1674 0.4182 0.5727  4 Tl 3.13-3.27
Br: 0.3057 0.0763 0.9756  1 Th 2.86
Br: 0.4182 0.5727 0.1674  4 Tl 3.13-3.27
Br: 0.4273 0.8326 0.5818  4 Tl 3.13-3.27
Br: 0.5727 0.1674 0.4182  4 Tl 3.13-3.27
Br: 0.5818 0.4273 0.8326  4 Tl 3.13-3.27
Br: 0.6943 0.9237 0.0244  1 Th 2.86
Br: 0.8326 0.5818 0.4273  4 Tl 3.13-3.27
Br: 0.9237 0.0244 0.6943  1 Th 2.86
Br: 0.9756 0.3057 0.0763  1 Th 2.86

***

# ThTl2Br8

A relaxed structure of ThTl2Br8 (GGA-PBE, Alexandria via LeMat-Bulk).

Results
- SG: C2/m, No. 12
- ΔE_f (raw): -1.01 eV/atom
- D(E_F): 4.585 states/eV/f.u.
- Magnetic moment: 0.0 μB per formula unit

a = 8.7779 Å, b = 8.7779 Å, c = 7.2560 Å
α = 103.58°, β = 103.58°, γ = 93.94°
Last column: nearest neighbours and their distance in Å.
Element x y z (fractional)
Th: 0.0000 0.0000 0.0000  6 Br 2.83-2.87
Tl: 0.3042 0.3042 0.8244  4 Br 2.86-3.03
Tl: 0.6958 0.6958 0.1756  4 Br 2.86-3.03
Br: 0.0362 0.7267 0.1515  1 Th 2.87, 1 Tl 3.03
Br: 0.1983 0.1983 0.3535  1 Th 2.83
Br: 0.2733 0.9638 0.8485  1 Th 2.87, 1 Tl 3.03
Br: 0.4697 0.4697 0.2265  2 Tl 2.86-2.91
Br: 0.5303 0.5303 0.7735  2 Tl 2.86-2.91
Br: 0.7267 0.0362 0.1515  1 Th 2.87, 1 Tl 3.03
Br: 0.8017 0.8017 0.6465  1 Th 2.83
Br: 0.9638 0.2733 0.8485  1 Th 2.87, 1 Tl 3.03

***

# ThTlBr6

A relaxed structure of ThTlBr6 (GGA-PBE, Alexandria via LeMat-Bulk).

Results
- ΔE to the lowest computed polymorph: 51 meV per atom
- SG: C2/m, No. 12
- ΔE_f (raw): -1.19 eV/atom
- D(E_F): 2.578 states/eV/f.u.
- Magnetic moment: 0.0 μB per formula unit

a = 14.5474 Å, b = 4.9510 Å, c = 9.9841 Å
α = 90.00°, β = 128.41°, γ = 90.00°
Last column: nearest neighbours and their distance in Å.
Element x y z (fractional)
Th: 0.0000 0.0000 0.0000  8 Br 2.85-3.17
Th: 0.5000 0.5000 0.0000  8 Br 2.85-3.17
Tl: 0.0000 0.5000 0.5000  6 Br 3.10-3.13
Tl: 0.5000 0.0000 0.5000  6 Br 3.10-3.13
Br: 0.0242 0.0000 0.7060  2 Tl 3.10, 1 Th 3.17, 2 Br 3.35
Br: 0.1129 0.5000 0.9890  2 Th 3.01, 2 Br 3.35
Br: 0.2309 0.0000 0.3194  1 Th 2.85, 1 Tl 3.13
Br: 0.2691 0.5000 0.6806  1 Th 2.85, 1 Tl 3.13
Br: 0.3871 0.0000 0.0110  2 Th 3.01, 2 Br 3.35
Br: 0.4758 0.5000 0.2940  2 Tl 3.10, 1 Th 3.17, 2 Br 3.35
Br: 0.5242 0.5000 0.7060  2 Tl 3.10, 1 Th 3.17, 2 Br 3.35
Br: 0.6129 0.0000 0.9890  2 Th 3.01, 2 Br 3.35
Br: 0.7309 0.5000 0.3194  1 Th 2.85, 1 Tl 3.13
Br: 0.7691 0.0000 0.6806  1 Th 2.85, 1 Tl 3.13
Br: 0.8871 0.5000 0.0110  2 Th 3.01, 2 Br 3.35
Br: 0.9758 0.0000 0.2940  2 Tl 3.10, 1 Th 3.17, 2 Br 3.35

***

The highest D(E_F) belongs to which entry? ThTl6Br12